# TiZn2Pt2, optimized geometry, DFT PBE-GGA
data_TiZn2Pt2
_chemical_formula_sum 'Ti2 Zn4 Pt4'
_cell_length_a 3.468
_cell_length_b 3.468
_cell_length_c 13.350
_cell_angle_alpha 90.00
_cell_angle_beta 90.00
_cell_angle_gamma 90.00
_symmetry_space_group_name_H-M 'I 4/m m m'
_symmetry_Int_Tables_number 139
_symmetry_space_group_name_Hall '-I 4 2'
loop_
_atom_site_label
_atom_site_fract_x
_atom_site_fract_y
_atom_site_fract_z
Ti1 0.000 0.000 0.000
Zn1 0.000 0.500 0.250
Pt1 0.000 0.000 0.401
# ΔE_f = -0.4995 eV per atom
# Size of the total moment = 0.00 μB per formula unit
# DOS(E_F) = 5.56 states/eV per cell